Below is a geometry-optimized AcFeC2O8 structure, with properties calculated at the GGA+U level.

abc: 6.433 6.433 6.433
angles: 45.62 45.62 45.62
Fractional positions:
Ac 0.000 0.000 0.000
Fe 0.500 0.500 0.500
C 0.223 0.223 0.223
C 0.777 0.777 0.777
O 0.057 0.596 0.596
O 0.145 0.145 0.145
O 0.404 0.404 0.943
O 0.404 0.943 0.404
O 0.596 0.057 0.596
O 0.596 0.596 0.057
O 0.855 0.855 0.855
O 0.943 0.404 0.404

Properties
For the energy, the calculation gives -7.13 eV per atom. As for the spin magnetization: 0.574 μB/atom. For the density of states at the Fermi level, the calculation gives 8.11 states/eV per cell. The symmetry is R-3m, No. 166.